--- A ---
## Sc6Tl5Pb (PBE)

Data for a relaxed structure of Sc6Tl5Pb.

Lattice parameters (Å, degrees): 6.0956 6.0956 9.5607 96.12 96.12 120.10
Last column: nearest neighbours and their distance in Å.
Element x y z (fractional)
1 Sc 0.0797 0.4156 0.7473  5 Tl 3.07-3.11, 1 Pb 3.12
2 Sc 0.2482 0.2482 0.2516  5 Tl 3.08-3.10, 1 Pb 3.12
3 Sc 0.4156 0.0797 0.7473  5 Tl 3.07-3.11, 1 Pb 3.12
4 Sc 0.5844 0.9203 0.2527  5 Tl 3.07-3.11, 1 Pb 3.12
5 Sc 0.7518 0.7518 0.7484  5 Tl 3.08-3.10, 1 Pb 3.12
6 Sc 0.9203 0.5844 0.2527  5 Tl 3.07-3.11, 1 Pb 3.12
7 Tl 0.0000 0.0000 0.5000  6 Sc 3.08
8 Tl 0.1671 0.8329 0.0000  6 Sc 3.10-3.11
9 Tl 0.3341 0.6659 0.5000  6 Sc 3.07-3.08
10 Tl 0.6659 0.3341 0.5000  6 Sc 3.07-3.08
11 Tl 0.8329 0.1671 0.0000  6 Sc 3.10-3.11
12 Pb 0.5000 0.5000 0.0000  6 Sc 3.12



--- B ---
## Sc6Tl5Pb (PBE)

Data for a relaxed structure of Sc6Tl5Pb.

Lattice parameters (Å, degrees): 8.8827 8.8827 5.1536 106.83 106.83 120.67
Last column: nearest neighbours and their distance in Å.
Element x y z (fractional)
1 Sc 0.0831 0.4161 0.7497  7 Tl 3.10-3.14, 1 Pb 3.13
2 Sc 0.2493 0.2493 0.2494  6 Tl 3.13-3.16, 2 Pb 3.13
3 Sc 0.4161 0.0831 0.7497  7 Tl 3.10-3.14, 1 Pb 3.13
4 Sc 0.5839 0.9169 0.2503  7 Tl 3.10-3.14, 1 Pb 3.13
5 Sc 0.7507 0.7507 0.7506  6 Tl 3.13-3.16, 2 Pb 3.13
6 Sc 0.9169 0.5839 0.2503  7 Tl 3.10-3.14, 1 Pb 3.13
7 Tl 0.1695 0.8305 0.0000  8 Sc 3.10-3.16
8 Tl 0.3338 0.6662 0.5000  8 Sc 3.13-3.14
9 Tl 0.5000 0.5000 0.0000  8 Sc 3.13-3.14
10 Tl 0.6662 0.3338 0.5000  8 Sc 3.13-3.14
11 Tl 0.8305 0.1695 0.0000  8 Sc 3.10-3.16
12 Pb 0.0000 0.0000 0.5000  8 Sc 3.13



The data favor B; the next most stable structure lies 0.042 eV/atom above it.